A plane-wave DFT calculation with PBE-GGA was carried out for an optimized crystal structure of Cs2Ag4Pb5.

Cell: 7.5292 7.5292 9.7249 Å, 124.42 124.42 56.50°
Last column: nearest neighbours and their distance in Å.
Atoms (fractional coordinates):
Cs (0.1961, 0.1961, 0.1475)  4 Ag 3.53-3.71, 2 Pb 3.93
Cs (0.8039, 0.8039, 0.8525)  4 Ag 3.53-3.71, 2 Pb 3.93
Ag (0.2062, 0.2062, 0.7890)  1 Ag 2.76, 3 Pb 2.99-3.02
Ag (0.2654, 0.2654, 0.5639)  1 Ag 2.76, 4 Pb 2.96-2.97
Ag (0.7346, 0.7346, 0.4361)  1 Ag 2.76, 4 Pb 2.96-2.97
Ag (0.7938, 0.7938, 0.2110)  1 Ag 2.76, 3 Pb 2.99-3.02
Pb (0.2137, 0.7308, 0.6440)  3 Ag 2.96-2.99
Pb (0.2692, 0.7863, 0.3560)  3 Ag 2.96-2.99
Pb (0.5000, 0.5000, 0.0000)  4 Ag 3.02-3.28
Pb (0.7308, 0.2137, 0.6440)  3 Ag 2.96-2.99
Pb (0.7863, 0.2692, 0.3560)  3 Ag 2.96-2.99

Output
formation energy from the elements	0.620	eV per formula unit
space group	C2/m
crystal system	monoclinic



A plane-wave DFT calculation with PBE-GGA was carried out for an optimized crystal structure of CsAg2Pb.

Cell: 7.3528 7.3528 7.3528 Å, 40.11 40.11 40.11°
Last column: nearest neighbours and their distance in Å.
Atoms (fractional coordinates):
Cs (0.0000, 0.0000, 0.0000)  2 Ag 3.69
Ag (0.1820, 0.1820, 0.1820)  3 Pb 2.93, 3 Ag 2.98
Ag (0.8180, 0.8180, 0.8180)  3 Pb 2.93, 3 Ag 2.98
Pb (0.5000, 0.5000, 0.5000)  6 Ag 2.93

Output
formation energy from the elements	0.010	eV per formula unit
space group	R-3m
crystal system	trigonal



A plane-wave DFT calculation with PBE-GGA was carried out for an optimized crystal structure of CsAgPb2.

Cell: 7.6118 7.6118 8.4337 Å, 90.00 90.00 143.45°
Last column: nearest neighbours and their distance in Å.
Atoms (fractional coordinates):
Cs (0.0460, 0.9540, 0.7500)  3 Ag 3.93-4.07, 8 Pb 3.95-4.24
Cs (0.9540, 0.0460, 0.2500)  3 Ag 3.93-4.07, 8 Pb 3.95-4.24
Ag (0.2256, 0.7744, 0.2500)  6 Pb 3.00-3.01
Ag (0.7744, 0.2256, 0.7500)  6 Pb 3.00-3.01
Pb (0.3311, 0.6689, 0.5581)  3 Ag 3.00-3.01, 1 Pb 3.24
Pb (0.3311, 0.6689, 0.9419)  3 Ag 3.00-3.01, 1 Pb 3.24
Pb (0.6689, 0.3311, 0.0581)  3 Ag 3.00-3.01, 1 Pb 3.24
Pb (0.6689, 0.3311, 0.4419)  3 Ag 3.00-3.01, 1 Pb 3.24

Output
formation energy from the elements	-0.450	eV per formula unit
space group	Cmcm
crystal system	orthorhombic



A plane-wave DFT calculation with PBE-GGA was carried out for an optimized crystal structure of CsAgPb.

Cell: 3.6759 4.7056 6.8077 Å, 90.00 90.24 90.00°
Last column: nearest neighbours and their distance in Å.
Atoms (fractional coordinates):
Cs (0.0000, 0.0000, 0.0000)  2 Cs 3.68, 4 Ag 3.76-3.98, 2 Pb 4.01
Ag (0.4973, 0.0000, 0.5174)  4 Pb 3.00
Pb (0.9960, 0.5000, 0.4773)  4 Ag 3.00

Output
formation energy from the elements	0.192	eV per formula unit
space group	Pm
polymorph energy (0 for the lowest one)	5.6	kJ per mole of atoms
crystal system	monoclinic



A plane-wave DFT calculation with PBE-GGA was carried out for an optimized crystal structure of Cs2AgPb.

Cell: 13.1834 13.1834 13.1834 Å, 18.28 18.28 18.28°
Last column: nearest neighbours and their distance in Å.
Atoms (fractional coordinates):
Cs (0.0987, 0.0987, 0.0987)  3 Ag 3.58, 1 Pb 3.84
Cs (0.9013, 0.9013, 0.9013)  3 Ag 3.58, 1 Pb 3.84
Ag (0.5000, 0.5000, 0.5000)  6 Cs 3.58
Pb (0.0000, 0.0000, 0.0000)  2 Cs 3.84, 6 Pb 4.19

Output
formation energy from the elements	1.346	eV per formula unit
space group	R-3m
polymorph energy (0 for the lowest one)	36.1	kJ per mole of atoms
crystal system	trigonal



A plane-wave DFT calculation with PBE-GGA was carried out for an optimized crystal structure of CsAgPb2.

Cell: 3.8948 3.8948 8.8995 Å, 90.00 90.00 90.00°
Last column: nearest neighbours and their distance in Å.
Atoms (fractional coordinates):
Cs (0.0000, 0.0000, 0.0000)  4 Cs 3.89, 8 Pb 4.01
Ag (0.0000, 0.0000, 0.5000)  8 Pb 3.15
Pb (0.5000, 0.5000, 0.3272)  1 Pb 3.08, 4 Ag 3.15
Pb (0.5000, 0.5000, 0.6728)  1 Pb 3.08, 4 Ag 3.15

Output
formation energy from the elements	-0.003	eV per formula unit
space group	P4/mmm
crystal system	tetragonal



> Which of these has the highest formation energy from the elements?

Cs2AgPb



Repeat the fifth record exactly.
A plane-wave DFT calculation with PBE-GGA was carried out for an optimized crystal structure of Cs2AgPb.

Cell: 13.1834 13.1834 13.1834 Å, 18.28 18.28 18.28°
Last column: nearest neighbours and their distance in Å.
Atoms (fractional coordinates):
Cs (0.0987, 0.0987, 0.0987)  3 Ag 3.58, 1 Pb 3.84
Cs (0.9013, 0.9013, 0.9013)  3 Ag 3.58, 1 Pb 3.84
Ag (0.5000, 0.5000, 0.5000)  6 Cs 3.58
Pb (0.0000, 0.0000, 0.0000)  2 Cs 3.84, 6 Pb 4.19

Output
formation energy from the elements	1.346	eV per formula unit
space group	R-3m
polymorph energy (0 for the lowest one)	36.1	kJ per mole of atoms
crystal system	trigonal